Record 1
This record from OQMD describes crystalline NdInPO at its relaxed geometry. The functional is PBE-GGA.

Cell and atoms, written as CIF:
```
data_NdInPO
_space_group_name_H-M_alt 'P 4/n m m'
_space_group_IT_number 129
_cell_length_a 4.3964
_cell_length_b 4.3964
_cell_length_c 8.5371
_cell_angle_alpha 90.00
_cell_angle_beta 90.00
_cell_angle_gamma 90.00
loop_
_space_group_symop_operation_xyz
'x,y,z'
'-x,-y,-z'
'-y+1/2,x,z'
'y+1/2,-x,-z'
'-x+1/2,-y+1/2,z'
'x+1/2,y+1/2,-z'
'y,-x+1/2,z'
'-y,x+1/2,-z'
'x+1/2,-y,-z'
'-x+1/2,y,z'
'-y,-x,-z'
'y,x,z'
'-x,y+1/2,-z'
'x,-y+1/2,z'
'y+1/2,x+1/2,-z'
'-y+1/2,-x+1/2,z'
loop_
_atom_site_label
_atom_site_fract_x
_atom_site_fract_y
_atom_site_fract_z
_atom_site_occupancy
Nd1 0.2500 0.2500 0.1129 1
In1 0.2500 0.7500 0.5000 1
P1 0.2500 0.2500 0.6834 1
O1 0.2500 0.7500 0.0000 1
```

## Properties
Total moment ... 0.0 μB/cell
Electronic total energy ... -47.16 eV for the cell shown
ΔE to the lowest computed polymorph ... 0.1 kJ/mol of atoms

=====

Record 2
This record from OQMD describes crystalline NdInPO at its relaxed geometry. The functional is PBE-GGA.

Cell and atoms, written as CIF:
```
data_NdInPO
_space_group_name_H-M_alt 'P 4/n m m'
_space_group_IT_number 129
_cell_length_a 4.4290
_cell_length_b 4.4290
_cell_length_c 8.3656
_cell_angle_alpha 90.00
_cell_angle_beta 90.00
_cell_angle_gamma 90.00
loop_
_space_group_symop_operation_xyz
'x,y,z'
'-x,-y,-z'
'-y+1/2,x,z'
'y+1/2,-x,-z'
'-x+1/2,-y+1/2,z'
'x+1/2,y+1/2,-z'
'y,-x+1/2,z'
'-y,x+1/2,-z'
'x+1/2,-y,-z'
'-x+1/2,y,z'
'-y,-x,-z'
'y,x,z'
'-x,y+1/2,-z'
'x,-y+1/2,z'
'y+1/2,x+1/2,-z'
'-y+1/2,-x+1/2,z'
loop_
_atom_site_label
_atom_site_fract_x
_atom_site_fract_y
_atom_site_fract_z
_atom_site_occupancy
Nd1 0.2500 0.2500 0.1119 1
In1 0.2500 0.7500 0.5000 1
P1 0.2500 0.2500 0.6843 1
O1 0.2500 0.7500 0.0000 1
```

## Properties
Total moment ... 0.0 μB/cell
Electronic total energy ... -47.18 eV for the cell shown
ΔE to the lowest computed polymorph ... 0.0 kJ/mol of atoms